First-principles (GGA-PBE) data for an optimized crystal structure of YRuBr2, as listed in Alexandria via LeMat-Bulk.

Geometry as CIF:
```
data_YRuBr2
_cell_length_a 3.523
_cell_length_b 4.463
_cell_length_c 5.494
_cell_angle_alpha 90.00
_cell_angle_beta 90.00
_cell_angle_gamma 90.00
_space_group_name_H-M_alt 'P m m m'
_space_group_IT_number 47
loop_
_space_group_symop_operation_xyz
'x,y,z'
'-x,-y,-z'
'-x,-y,z'
'x,y,-z'
'x,-y,-z'
'-x,y,z'
'-x,y,-z'
'x,-y,z'
loop_
_atom_site_label
_atom_site_fract_x
_atom_site_fract_y
_atom_site_fract_z
Y1 0.000 0.000 0.000
Ru1 0.500 0.000 0.500
Br1 0.000 0.500 0.500
Br2 0.500 0.500 0.000
```

Values from the calculation:
ΔE_f (raw) = -13.2 kJ/mol of atoms
E above lowest polymorph = 480.8 meV/atom
M_tot = 0.2 μB/cell
Crystal system = orthorhombic